{"formula": "NaSbIr3", "functional": "PBE", "state": "optimized geometry", "polymorph_energy_mev_per_atom": 654, "final_energy_ev_per_atom": -4.44, "e_form_raw_ev_per_atom": 1.96, "lattice": [[4.5442, 0.0000, 0.0000], [0.0000, 4.5442, 0.0000], [0.0000, 0.0000, 4.5442]], "species": ["Na", "Sb", "Ir", "Ir", "Ir"], "frac_coords": [[0.0000, 0.0000, 0.0000], [0.5000, 0.5000, 0.5000], [0.0000, 0.0000, 0.5000], [0.0000, 0.5000, 0.0000], [0.5000, 0.0000, 0.0000]]}